(1)
## Sr3Pm2ThTe6 (GGA-PBE)

Data for a relaxed Sr3Pm2ThTe6 crystal.

## Properties
D(E_F) = 0.58 states/eV/atom
Volume = 34.1 Å³ per atom
Magnetic moment = 0.00 μB/f.u.
SG = C2/m, No. 12
Formation energy without anion corrections = -1459.0 meV/atom

a = 4.516 Å, b = 9.310 Å, c = 10.346 Å
α = 105.15°, β = 102.60°, γ = 90.00°
Fractional coordinates of all 12 atoms:
Sr  0.500  0.500  0.000
Sr  0.833  0.170  0.666
Sr  0.167  0.830  0.334
Pm  0.836  0.674  0.672
Pm  0.164  0.326  0.328
Th  0.500  0.000  0.000
Te  0.335  0.914  0.670
Te  0.670  0.574  0.341
Te  0.665  0.086  0.330
Te  0.001  0.245  0.002
Te  0.999  0.755  0.998
Te  0.330  0.426  0.659

---

(2)
## SrPm2Tl3Te6 (GGA-PBE)

Data for a relaxed SrPm2Tl3Te6 crystal.

## Properties
D(E_F) = 0.55 states/eV/atom
Volume = 36.9 Å³ per atom
Magnetic moment = 0.00 μB/f.u.
SG = C2/m, No. 12
Formation energy without anion corrections = -1010.8 meV/atom

a = 7.996 Å, b = 7.996 Å, c = 8.418 Å
α = 99.13°, β = 99.13°, γ = 119.94°
Fractional coordinates of all 12 atoms:
Sr  0.000  0.000  0.000
Pm  0.332  0.668  0.000
Pm  0.668  0.332  0.000
Tl  0.163  0.837  0.500
Tl  0.837  0.163  0.500
Tl  0.500  0.500  0.500
Te  0.923  0.576  0.773
Te  0.725  0.725  0.222
Te  0.077  0.424  0.227
Te  0.576  0.923  0.773
Te  0.275  0.275  0.778
Te  0.424  0.077  0.227

---

(3)
## Sr3PmTm3Te8 (GGA-PBE)

Data for a relaxed Sr3PmTm3Te8 crystal.

## Properties
D(E_F) = 0.35 states/eV/atom
Volume = 34.2 Å³ per atom
Magnetic moment = 0.00 μB/f.u.
SG = R-3m, No. 166
Formation energy without anion corrections = -1487.2 meV/atom

a = 8.851 Å, b = 8.850 Å, c = 9.137 Å
α = 118.98°, β = 90.00°, γ = 120.00°
Fractional coordinates of all 15 atoms:
Sr  0.000  0.000  0.000
Sr  0.000  0.500  0.000
Sr  0.500  0.500  0.000
Pm  0.000  0.000  0.500
Tm  0.500  0.000  0.500
Tm  0.500  0.500  0.500
Tm  0.000  0.500  0.500
Te  0.258  0.515  0.273
Te  0.742  0.485  0.727
Te  0.749  0.497  0.267
Te  0.251  0.503  0.733
Te  0.749  0.018  0.267
Te  0.251  0.982  0.733
Te  0.269  0.018  0.267
Te  0.731  0.982  0.733

---

(4)
## Sr3Pm2TmTe6 (GGA-PBE)

Data for a relaxed Sr3Pm2TmTe6 crystal.

## Properties
D(E_F) = 0.44 states/eV/atom
Volume = 33.5 Å³ per atom
Magnetic moment = 0.00 μB/f.u.
SG = C2/m, No. 12
Formation energy without anion corrections = -1511.2 meV/atom

a = 7.829 Å, b = 7.829 Å, c = 8.010 Å
α = 99.41°, β = 99.41°, γ = 119.91°
Fractional coordinates of all 12 atoms:
Sr  0.170  0.830  0.500
Sr  0.830  0.170  0.500
Sr  0.500  0.500  0.500
Pm  0.335  0.665  0.000
Pm  0.665  0.335  0.000
Tm  0.000  0.000  0.000
Te  0.923  0.598  0.766
Te  0.755  0.755  0.237
Te  0.077  0.402  0.234
Te  0.598  0.923  0.766
Te  0.245  0.245  0.763
Te  0.402  0.077  0.234

---

(5)
## SrPm2Th (GGA-PBE)

Data for a relaxed SrPm2Th crystal.

## Properties
D(E_F) = 1.09 states/eV/atom
Volume = 37.4 Å³ per atom
Energy above the lowest structure with this stoichiometry = 83 meV/atom
Magnetic moment = 0.00 μB/f.u.
SG = R-3m, No. 166
Formation energy from the elements = 63.4 kJ/mol of formula units

a = 3.663 Å, b = 3.663 Å, c = 13.056 Å
α = 81.94°, β = 81.94°, γ = 60.00°
Fractional coordinates of all 4 atoms:
Sr  0.000  0.000  0.000
Th  0.500  0.500  0.500
Pm  0.094  0.094  0.719
Pm  0.906  0.906  0.281

---

(6)
## SrPm2Th (GGA-PBE)

Data for a relaxed SrPm2Th crystal.

## Properties
D(E_F) = 1.44 states/eV/atom
Volume = 37.6 Å³ per atom
Energy above the lowest structure with this stoichiometry = 0 meV/atom
Magnetic moment = 0.00 μB/f.u.
SG = P4/mmm, No. 123
Formation energy from the elements = 31.5 kJ/mol of formula units

a = 3.719 Å, b = 3.719 Å, c = 10.880 Å
α = 90.00°, β = 90.00°, γ = 90.00°
Fractional coordinates of all 4 atoms:
Sr  0.500  0.500  0.500
Th  0.500  0.500  0.000
Pm  0.000  0.000  0.783
Pm  0.000  0.000  0.217

---

(7)
## SrPmTl2 (GGA-PBE)

Data for a relaxed SrPmTl2 crystal.

## Properties
D(E_F) = 0.62 states/eV/atom
Volume = 31.6 Å³ per atom
Magnetic moment = 0.00 μB/f.u.
SG = P4/mmm, No. 123
Formation energy from the elements = -154.5 kJ/mol of formula units

a = 3.953 Å, b = 3.953 Å, c = 8.098 Å
α = 90.00°, β = 90.00°, γ = 90.00°
Fractional coordinates of all 4 atoms:
Sr  0.500  0.500  0.500
Tl  0.000  0.000  0.767
Tl  0.000  0.000  0.233
Pm  0.500  0.500  0.000

---

(8)
## SrPm2Tl2 (GGA-PBE)

Data for a relaxed SrPm2Tl2 crystal.

## Properties
D(E_F) = 0.97 states/eV/atom
Volume = 33.8 Å³ per atom
Energy above the lowest structure with this stoichiometry = 0 meV/atom
Magnetic moment = 0.00 μB/f.u.
SG = P-1, No. 2
Formation energy from the elements = -121.0 kJ/mol of formula units

a = 6.378 Å, b = 7.209 Å, c = 9.501 Å
α = 68.39°, β = 74.69°, γ = 56.63°
Fractional coordinates of all 10 atoms:
Sr  0.947  0.693  0.156
Sr  0.053  0.307  0.844
Pm  0.534  0.313  0.350
Pm  0.754  0.002  0.746
Pm  0.246  0.998  0.254
Pm  0.466  0.687  0.650
Tl  0.490  0.721  0.995
Tl  0.007  0.276  0.501
Tl  0.510  0.279  0.005
Tl  0.993  0.724  0.499

---

(9)
## SrPmTl2 (GGA-PBE)

Data for a relaxed SrPmTl2 crystal.

## Properties
D(E_F) = 0.77 states/eV/atom
Volume = 34.3 Å³ per atom
Magnetic moment = 0.00 μB/f.u.
SG = R-3m, No. 166
Formation energy from the elements = -95.2 kJ/mol of formula units

a = 3.981 Å, b = 3.981 Å, c = 10.245 Å
α = 78.80°, β = 78.80°, γ = 60.00°
Fractional coordinates of all 4 atoms:
Sr  0.000  0.000  0.000
Tl  0.753  0.753  0.740
Tl  0.247  0.247  0.260
Pm  0.500  0.500  0.500

---

(10)
## SrPm2Tl (GGA-PBE)

Data for a relaxed SrPm2Tl crystal.

## Properties
D(E_F) = 1.50 states/eV/atom
Volume = 36.2 Å³ per atom
Energy above the lowest structure with this stoichiometry = 21 meV/atom
Magnetic moment = 0.00 μB/f.u.
SG = P4/mmm, No. 123
Formation energy from the elements = -27.0 kJ/mol of formula units

a = 3.787 Å, b = 3.787 Å, c = 10.101 Å
α = 90.00°, β = 90.00°, γ = 90.00°
Fractional coordinates of all 4 atoms:
Sr  0.500  0.500  0.500
Tl  0.500  0.500  0.000
Pm  0.000  0.000  0.801
Pm  0.000  0.000  0.199

---

(11)
## SrPm2Tl (GGA-PBE)

Data for a relaxed SrPm2Tl crystal.

## Properties
D(E_F) = 1.42 states/eV/atom
Volume = 38.4 Å³ per atom
Energy above the lowest structure with this stoichiometry = 155 meV/atom
Magnetic moment = 0.93 μB/f.u.
SG = R3m, No. 160
Formation energy from the elements = 24.5 kJ/mol of formula units

a = 5.408 Å, b = 5.408 Å, c = 6.826 Å
α = 66.66°, β = 66.66°, γ = 60.00°
Last column: magnetic moment on the atom in μB.
Fractional coordinates of all 4 atoms:
Sr  0.490  0.490  0.529  0.03
Pm  0.043  0.043  0.870  0.17
Pm  0.278  0.278  0.167  0.24
Tl  0.689  0.689  0.933  0.00

---

(12)
## SrPm2Tl2 (GGA-PBE)

Data for a relaxed SrPm2Tl2 crystal.

## Properties
D(E_F) = 1.03 states/eV/atom
Volume = 33.6 Å³ per atom
Energy above the lowest structure with this stoichiometry = 58 meV/atom
Magnetic moment = 0.59 μB/f.u.
SG = Cmmm, No. 65
Formation energy from the elements = -93.0 kJ/mol of formula units

a = 3.834 Å, b = 3.859 Å, c = 11.532 Å
α = 80.37°, β = 90.00°, γ = 90.00°
Last column: magnetic moment on the atom in μB.
Fractional coordinates of all 5 atoms:
Sr  0.000  0.000  0.000  0.00
Pm  0.000  0.181  0.638  0.15
Pm  0.000  0.819  0.362  0.15
Tl  0.500  0.401  0.198  0.00
Tl  0.500  0.599  0.802  0.00